Version one
{
  "formula": "Ca2CuBr",
  "functional": "GGA-PBE",
  "state": "optimized geometry",
  "lattice": [[6.106, 0.000, 0.000], [0.000, 3.013, 3.013], [0.000, -3.013, 3.013]],
  "species": ["Ca", "Ca", "Cu", "Br"],
  "frac_coords": [[0.000, 0.000, 0.000], [0.500, 0.499, 0.499], [0.500, 0.998, 0.998], [0.000, 0.500, 0.500]],
  "dos_at_fermi_per_ev_cell": 3.2,
  "sg": "No. 38"
}

Version two
{
  "formula": "Ca2CuBr",
  "functional": "GGA-PBE",
  "state": "optimized geometry",
  "lattice": [[0.000, 3.753, 3.753], [3.753, 0.000, 3.753], [3.753, 3.753, 0.000]],
  "species": ["Ca", "Ca", "Cu", "Br"],
  "frac_coords": [[0.250, 0.250, 0.250], [0.750, 0.750, 0.750], [0.000, 0.000, 0.000], [0.500, 0.500, 0.500]],
  "dos_at_fermi_per_ev_cell": 4.6,
  "sg": "No. 225"
}

Energy relative to the most stable one, in meV per atom: version one 0; version two 183

Version one
{
  "formula": "CaIrRh2",
  "functional": "GGA-PBE",
  "state": "optimized geometry",
  "lattice": [[2.843, 0.000, 0.000], [0.000, 4.614, 0.000], [-0.913, 0.000, 5.172]],
  "species": ["Ca", "Ir", "Rh", "Rh"],
  "frac_coords": [[0.000, 0.000, 0.000], [0.500, 0.000, 0.500], [0.329, 0.500, 0.716], [0.671, 0.500, 0.284]],
  "dos_at_fermi_per_ev_cell": 5.0,
  "sg": "No. 10"
}

Version two
{
  "formula": "CaIrRh2",
  "functional": "GGA-PBE",
  "state": "optimized geometry",
  "lattice": [[-2.042, 2.042, 3.925], [2.042, -2.042, 3.925], [2.042, 2.042, -3.925]],
  "species": ["Ca", "Ir", "Rh", "Rh"],
  "frac_coords": [[0.000, 0.000, 0.000], [0.500, 0.500, 0.000], [0.250, 0.750, 0.500], [0.750, 0.250, 0.500]],
  "dos_at_fermi_per_ev_cell": 3.6,
  "sg": "No. 139"
}

Energy relative to the most stable one, in meV per atom: version one 62; version two 0

Version one
{
  "formula": "BC2",
  "functional": "GGA-PBE",
  "state": "optimized geometry",
  "lattice": [[5.996, -1.249, 0.000], [5.996, 1.249, 0.000], [-1.195, 0.000, 5.108]],
  "species": ["B", "B", "B", "B", "C", "C", "C", "C", "C", "C", "C", "C"],
  "frac_coords": [[0.000, 0.000, 0.000], [0.011, 0.011, 0.492], [0.344, 0.344, 0.667], [0.611, 0.611, 0.045], [0.262, 0.262, 0.364], [0.263, 0.263, 0.876], [0.342, 0.342, 0.165], [0.614, 0.614, 0.546], [0.686, 0.686, 0.827], [0.688, 0.688, 0.344], [0.918, 0.918, 0.203], [0.931, 0.931, 0.697]],
  "dos_at_fermi_per_ev_cell": 1.8,
  "sg": "No. 8"
}

Version two
{
  "formula": "BC2",
  "functional": "GGA-PBE",
  "state": "optimized geometry",
  "lattice": [[4.611, 0.000, 0.000], [0.000, 2.590, 0.000], [-0.542, 0.000, 6.442]],
  "species": ["B", "B", "B", "B", "C", "C", "C", "C", "C", "C", "C", "C"],
  "frac_coords": [[0.000, 0.000, 0.000], [0.025, 0.000, 0.680], [0.511, 0.500, 0.979], [0.706, 0.000, 0.403], [0.205, 0.500, 0.389], [0.209, 0.500, 0.628], [0.344, 0.000, 0.072], [0.357, 0.000, 0.309], [0.521, 0.500, 0.728], [0.686, 0.000, 0.674], [0.843, 0.500, 0.078], [0.881, 0.500, 0.306]],
  "dos_at_fermi_per_ev_cell": 2.0,
  "sg": "No. 6"
}

Energy relative to the most stable one, in meV per atom: version one 18; version two 0